VASP calculation (PBE) on an optimized crystal structure of Ba2CuHg.

Structure (POSCAR):
```
Ba2CuHg
1.0
4.838 0.000 0.000
0.000 4.838 0.000
0.000 0.000 12.215
Ba Cu Hg
4 2 2
Direct
0.000 0.000 0.000
0.000 0.500 0.250
0.500 0.000 0.750
0.500 0.500 0.500
0.000 0.500 0.750
0.500 0.000 0.250
0.000 0.000 0.500
0.500 0.500 0.000
```

Output
- SG = I-4m2, No. 119
- Fermi-level density of states (states/eV per atom) = 0.911
- formation enthalpy at 0 K (eV per atom) = -0.032



VASP calculation (PBE) on an optimized crystal structure of Ga2Fe2Sn.

Structure (POSCAR):
```
Ga2Fe2Sn
1.0
7.645 0.000 0.000
0.000 7.645 0.000
0.000 0.000 2.733
Ga Fe Sn
4 4 2
Direct
0.125 0.375 0.000
0.375 0.875 0.000
0.625 0.125 0.000
0.875 0.625 0.000
0.170 0.670 0.500
0.330 0.170 0.500
0.670 0.830 0.500
0.830 0.330 0.500
0.000 0.000 0.000
0.500 0.500 0.000
```

Output
- SG = P4/mbm, No. 127
- Fermi-level density of states (states/eV per atom) = 0.940
- polymorph energy (0 for the lowest one) (eV/atom) = 0.100
- formation enthalpy at 0 K (eV per atom) = 0.198



VASP calculation (PBE) on an optimized crystal structure of MnAgSe2.

Structure (POSCAR):
```
MnAgSe2
1.0
7.657 0.000 0.000
0.000 3.700 0.000
0.000 0.000 12.506
Mn Ag Se
4 4 8
Direct
0.052 0.250 0.066
0.448 0.750 0.566
0.552 0.250 0.434
0.948 0.750 0.934
0.175 0.250 0.818
0.325 0.750 0.318
0.675 0.250 0.682
0.825 0.750 0.182
0.083 0.250 0.249
0.223 0.750 0.018
0.277 0.250 0.518
0.417 0.750 0.749
0.583 0.250 0.251
0.723 0.750 0.482
0.777 0.250 0.982
0.917 0.750 0.751
```

Output
- SG = Pnma, No. 62
- Fermi-level density of states (states/eV per atom) = 0.431
- E_tot (eV per atom) = -4.90



VASP calculation (PBE) on an optimized crystal structure of Nd3Sm6Tm.

Structure (POSCAR):
```
Nd3Sm6Tm
1.0
5.493 -9.614 0.000
5.493 9.614 0.000
0.000 0.000 6.469
Nd Sm Tm
6 12 2
Direct
0.114 0.886 0.500
0.211 0.442 0.887
0.442 0.211 0.387
0.558 0.789 0.887
0.789 0.558 0.387
0.886 0.114 0.000
0.025 0.444 0.289
0.126 0.214 0.479
0.214 0.126 0.979
0.225 0.775 0.074
0.444 0.025 0.789
0.464 0.536 0.291
0.536 0.464 0.791
0.556 0.975 0.289
0.775 0.225 0.574
0.786 0.874 0.479
0.874 0.786 0.979
0.975 0.556 0.789
0.307 0.693 0.541
0.693 0.307 0.041
```

Output
- SG = Cmc2_1, No. 36
- Fermi-level density of states (states/eV per atom) = 1.294
- polymorph energy (0 for the lowest one) (eV/atom) = 0.000
- formation enthalpy at 0 K (eV per atom) = 0.140



VASP calculation (PBE) on an optimized crystal structure of TbCe3Th4Se8.

Structure (POSCAR):
```
TbCe3Th4Se8
1.0
4.144 2.393 6.975
-4.144 2.393 6.975
0.000 -4.785 6.975
Tb Ce Th Se
1 3 4 8
Direct
0.000 0.000 0.000
0.000 0.500 0.500
0.500 0.000 0.500
0.500 0.500 0.000
0.000 0.000 0.500
0.000 0.500 0.000
0.500 0.000 0.000
0.500 0.500 0.500
0.245 0.245 0.752
0.245 0.752 0.245
0.248 0.755 0.755
0.251 0.251 0.251
0.749 0.749 0.749
0.752 0.245 0.245
0.755 0.248 0.755
0.755 0.755 0.248
```

Output
- SG = R-3m, No. 166
- Fermi-level density of states (states/eV per atom) = 1.365
- E_tot (eV per atom) = -6.68



VASP calculation (PBE) on an optimized crystal structure of Pm6NdTmSc2.

Structure (POSCAR):
```
Pm6NdTmSc2
1.0
4.542 -7.491 0.000
4.542 7.491 0.000
-1.460 0.000 9.485
Pm Nd Tm Sc
12 2 2 4
Direct
0.019 0.564 0.181
0.108 0.761 0.553
0.239 0.892 0.947
0.300 0.503 0.380
0.436 0.981 0.319
0.497 0.700 0.120
0.503 0.300 0.880
0.564 0.019 0.681
0.700 0.497 0.620
0.761 0.108 0.053
0.892 0.239 0.447
0.981 0.436 0.819
0.404 0.596 0.750
0.596 0.404 0.250
0.029 0.971 0.250
0.971 0.029 0.750
0.193 0.290 0.048
0.290 0.193 0.548
0.710 0.807 0.452
0.807 0.710 0.952
```

Output
- SG = C2/c, No. 15
- Fermi-level density of states (states/eV per atom) = 1.578
- formation enthalpy at 0 K (eV per atom) = 0.123



VASP calculation (PBE) on an optimized crystal structure of Nb2Rh.

Structure (POSCAR):
```
Nb2Rh
1.0
2.834 0.000 0.000
0.000 4.628 0.000
-0.329 0.000 7.735
Nb Rh
4 2
Direct
0.014 0.250 0.284
0.315 0.250 0.924
0.685 0.750 0.076
0.986 0.750 0.716
0.447 0.750 0.398
0.553 0.250 0.602
```

Output
- SG = P2_1/m, No. 11
- Fermi-level density of states (states/eV per atom) = 1.016
- formation enthalpy at 0 K (eV per atom) = -0.267